(1)
This record from the Alexandria database describes Sm7Er12Cd after structural relaxation. The functional is PBE-GGA.

Unit cell a=8.7403 b=8.8722 c=9.3965 alpha=116.01 beta=95.80 gamma=97.69
Last column: nearest neighbours and their distance in Å.
Fractional positions:
Sm (0.0000, 0.0000, 0.0000)  2 Er 3.10
Sm (0.1717, 0.5954, 0.6335)  1 Cd 3.31, 3 Sm 3.31-3.63, 5 Er 3.47-3.71
Sm (0.3028, 0.7085, 0.0168)  3 Sm 3.31-3.62, 4 Er 3.35-3.54
Sm (0.4121, 0.3315, 0.7188)  1 Cd 3.12, 2 Er 3.40-3.41
Sm (0.5879, 0.6685, 0.2812)  1 Cd 3.12, 2 Er 3.40-3.41
Sm (0.6972, 0.2915, 0.9832)  3 Sm 3.31-3.62, 4 Er 3.35-3.54
Sm (0.8283, 0.4046, 0.3665)  1 Cd 3.31, 3 Sm 3.31-3.63, 5 Er 3.47-3.71
Er (0.0359, 0.3098, 0.8239)  7 Er 3.45-3.73, 5 Sm 3.47-3.82
Er (0.0567, 0.1352, 0.4184)  7 Er 3.45-3.64, 4 Sm 3.47-3.62
Er (0.2093, 0.4226, 0.2160)  1 Cd 3.26, 4 Er 3.47-3.59, 3 Sm 3.50-3.60
Er (0.3065, 0.0613, 0.8760)  2 Sm 3.10-3.40, 2 Er 3.30-3.44
Er (0.3062, 0.8788, 0.4563)  4 Sm 3.41-3.72, 8 Er 3.45-3.59
Er (0.4046, 0.1293, 0.2665)  1 Cd 2.98, 1 Er 3.30
Er (0.5954, 0.8707, 0.7335)  1 Cd 2.98, 1 Er 3.30
Er (0.6938, 0.1212, 0.5437)  4 Sm 3.41-3.72, 8 Er 3.45-3.59
Er (0.6935, 0.9387, 0.1240)  2 Sm 3.10-3.40, 2 Er 3.30-3.44
Er (0.7907, 0.5774, 0.7840)  1 Cd 3.26, 4 Er 3.47-3.59, 3 Sm 3.50-3.60
Er (0.9433, 0.8648, 0.5816)  7 Er 3.45-3.64, 4 Sm 3.47-3.62
Er (0.9641, 0.6902, 0.1761)  7 Er 3.45-3.73, 5 Sm 3.47-3.82
Cd (0.5000, 0.5000, 0.5000)  4 Er 2.98-3.26, 4 Sm 3.12-3.31

Results
DFT formation energy: 71 meV per atom
ρ: 8.25 Mg/m³
SG: P-1, No. 2

(2)
This record from the Alexandria database describes Sm12Er7Cd after structural relaxation. The functional is PBE-GGA.

Unit cell a=9.9216 b=9.9216 c=9.9216 alpha=109.47 beta=109.47 gamma=109.47
Last column: nearest neighbours and their distance in Å.
Fractional positions:
Sm (0.0011, 0.7687, 0.2324)  2 Er 2.88
Sm (0.2313, 0.2324, 0.4636)  2 Er 2.88
Sm (0.2313, 0.7676, 0.9989)  2 Er 2.88
Sm (0.2324, 0.0011, 0.7687)  2 Er 2.88
Sm (0.2324, 0.4636, 0.2313)  2 Er 2.88
Sm (0.4636, 0.2313, 0.2324)  2 Er 2.88
Sm (0.5364, 0.7687, 0.7676)  2 Er 2.88
Sm (0.7676, 0.5364, 0.7687)  2 Er 2.88
Sm (0.7676, 0.9989, 0.2313)  2 Er 2.88
Sm (0.7687, 0.2324, 0.0011)  2 Er 2.88
Sm (0.7687, 0.7676, 0.5364)  2 Er 2.88
Sm (0.9989, 0.2313, 0.7676)  2 Er 2.88
Er (0.0000, 0.0000, 0.5000)  6 Sm 2.88
Er (0.0000, 0.5000, 0.0000)  6 Sm 2.88
Er (0.0000, 0.5000, 0.5000)  12 Sm 4.05-4.35
Er (0.5000, 0.0000, 0.0000)  6 Sm 2.88
Er (0.5000, 0.0000, 0.5000)  12 Sm 4.05-4.35
Er (0.5000, 0.5000, 0.0000)  12 Sm 4.05-4.35
Er (0.5000, 0.5000, 0.5000)  6 Sm 2.88
Cd (0.0000, 0.0000, 0.0000)  12 Sm 3.76

Results
DFT formation energy: 699 meV per atom
ρ: 6.82 Mg/m³
SG: Im-3, No. 204

(3)
This record from the Alexandria database describes Sm3Er4Cd4 after structural relaxation. The functional is PBE-GGA.

Unit cell a=9.5527 b=9.5527 c=9.5527 alpha=147.80 beta=135.90 gamma=55.65
Last column: nearest neighbours and their distance in Å.
Fractional positions:
Sm (0.0000, 0.0000, 0.0000)  6 Cd 3.09-3.40
Sm (0.3940, 0.8940, 0.5000)  4 Er 3.50, 6 Cd 3.52-3.81, 1 Sm 3.58
Sm (0.6060, 0.1060, 0.5000)  4 Er 3.50, 6 Cd 3.52-3.81, 1 Sm 3.58
Er (0.0528, 0.3191, 0.7337)  4 Cd 2.99-3.13, 1 Er 3.35
Er (0.4145, 0.6809, 0.7337)  4 Cd 2.99-3.13, 1 Er 3.35
Er (0.5855, 0.3191, 0.2663)  4 Cd 2.99-3.13, 1 Er 3.35
Er (0.9472, 0.6809, 0.2663)  4 Cd 2.99-3.13, 1 Er 3.35
Cd (0.1827, 0.1827, 0.0000)  6 Er 2.99-3.13, 1 Sm 3.09
Cd (0.2963, 0.5000, 0.7963)  1 Cd 2.92, 2 Er 3.09
Cd (0.7037, 0.5000, 0.2037)  1 Cd 2.92, 2 Er 3.09
Cd (0.8173, 0.8173, 0.0000)  6 Er 2.99-3.13, 1 Sm 3.09

Results
DFT formation energy: -111 meV per atom
ρ: 8.12 Mg/m³
SG: Immm, No. 71

(4)
This record from the Alexandria database describes Sm5ErCd3 after structural relaxation. The functional is PBE-GGA.

Unit cell a=9.3401 b=9.3401 c=6.9936 alpha=90.00 beta=90.00 gamma=120.00
Last column: nearest neighbours and their distance in Å.
Fractional positions:
Sm (0.0000, 0.3333, 0.2500)  3 Cd 3.10-3.14
Sm (0.0000, 0.6667, 0.7500)  3 Cd 3.10-3.14
Sm (0.3333, 0.0000, 0.2500)  3 Cd 3.10-3.14
Sm (0.3333, 0.3333, 0.7500)  3 Cd 3.10-3.14
Sm (0.3333, 0.6667, 0.0000)  8 Sm 3.50-3.57, 6 Cd 3.58
Sm (0.3333, 0.6667, 0.5000)  8 Sm 3.50-3.57, 6 Cd 3.58
Sm (0.6667, 0.0000, 0.7500)  3 Cd 3.10-3.14
Sm (0.6667, 0.3333, 0.0000)  8 Sm 3.50-3.57, 6 Cd 3.58
Sm (0.6667, 0.3333, 0.5000)  8 Sm 3.50-3.57, 6 Cd 3.58
Sm (0.6667, 0.6667, 0.2500)  3 Cd 3.10-3.14
Er (0.0000, 0.0000, 0.0000)  2 Er 3.50, 6 Cd 3.55, 6 Sm 3.57
Er (0.0000, 0.0000, 0.5000)  2 Er 3.50, 6 Cd 3.55, 6 Sm 3.57
Cd (0.0000, 0.3303, 0.7500)  3 Sm 3.10-3.14
Cd (0.0000, 0.6697, 0.2500)  3 Sm 3.10-3.14
Cd (0.3303, 0.0000, 0.7500)  3 Sm 3.10-3.14
Cd (0.3303, 0.3303, 0.2500)  3 Sm 3.10-3.14
Cd (0.6697, 0.0000, 0.2500)  3 Sm 3.10-3.14
Cd (0.6697, 0.6697, 0.7500)  3 Sm 3.10-3.14

Results
DFT formation energy: -180 meV per atom
ρ: 7.90 Mg/m³
SG: P6_3/mcm, No. 193

(5)
This record from the Alexandria database describes SmEr3Cd4 after structural relaxation. The functional is PBE-GGA.

Unit cell a=10.5081 b=7.5761 c=5.2540 alpha=90.00 beta=90.00 gamma=90.00
Last column: nearest neighbours and their distance in Å.
Fractional positions:
Sm (0.0000, 0.0000, 0.0000)  8 Cd 3.27
Sm (0.5000, 0.0000, 0.0000)  8 Cd 3.27
Er (0.0000, 0.5000, 0.0000)  8 Cd 3.21
Er (0.2500, 0.0000, 0.4991)  8 Cd 3.27
Er (0.2500, 0.5000, 0.4991)  8 Cd 3.21
Er (0.5000, 0.5000, 0.0000)  8 Cd 3.21
Er (0.7500, 0.0000, 0.5009)  8 Cd 3.27
Er (0.7500, 0.5000, 0.5009)  8 Cd 3.21
Cd (0.0000, 0.2570, 0.5000)  6 Er 3.21-3.27, 2 Sm 3.27
Cd (0.0000, 0.7430, 0.5000)  6 Er 3.21-3.27, 2 Sm 3.27
Cd (0.2500, 0.2570, 0.9989)  6 Er 3.21-3.27, 2 Sm 3.27
Cd (0.2500, 0.7430, 0.9989)  6 Er 3.21-3.27, 2 Sm 3.27
Cd (0.5000, 0.2570, 0.5000)  6 Er 3.21-3.27, 2 Sm 3.27
Cd (0.5000, 0.7430, 0.5000)  6 Er 3.21-3.27, 2 Sm 3.27
Cd (0.7500, 0.2570, 0.0011)  6 Er 3.21-3.27, 2 Sm 3.27
Cd (0.7500, 0.7430, 0.0011)  6 Er 3.21-3.27, 2 Sm 3.27

Results
DFT formation energy: -314 meV per atom
ρ: 8.75 Mg/m³
SG: Pmma, No. 51

(6)
This record from the Alexandria database describes Sm5Er3Cd after structural relaxation. The functional is PBE-GGA.

Unit cell a=8.2677 b=8.2677 c=11.7888 alpha=111.70 beta=111.70 gamma=86.41
Last column: nearest neighbours and their distance in Å.
Fractional positions:
Sm (0.0320, 0.0320, 0.3870)  2 Sm 3.13-3.38, 3 Er 3.19-3.31
Sm (0.0976, 0.5897, 0.2063)  1 Cd 3.02, 1 Sm 3.30
Sm (0.1783, 0.1783, 0.9411)  1 Cd 3.25, 5 Sm 3.30-3.58, 3 Er 3.35-3.63
Sm (0.2201, 0.7799, 0.0000)  3 Er 3.17-3.48
Sm (0.4103, 0.9024, 0.7937)  1 Cd 3.02, 1 Sm 3.30
Sm (0.5897, 0.0976, 0.2063)  1 Cd 3.02, 1 Sm 3.30
Sm (0.7799, 0.2201, 0.0000)  3 Er 3.17-3.48
Sm (0.8217, 0.8217, 0.0589)  1 Cd 3.25, 5 Sm 3.30-3.58, 3 Er 3.35-3.63
Sm (0.9024, 0.4103, 0.7937)  1 Cd 3.02, 1 Sm 3.30
Sm (0.9680, 0.9680, 0.6130)  2 Sm 3.13-3.38, 3 Er 3.19-3.31
Er (0.1794, 0.1794, 0.2258)  6 Sm 3.19-3.49, 1 Cd 3.25, 1 Er 3.56
Er (0.2749, 0.2749, 0.6950)  1 Cd 2.98, 1 Er 3.22, 2 Sm 3.31
Er (0.5000, 0.5000, 0.0000)  2 Cd 2.99, 2 Sm 3.17, 2 Er 3.22
Er (0.5000, 0.5000, 0.5000)  2 Cd 3.01
Er (0.7251, 0.7251, 0.3050)  1 Cd 2.98, 1 Er 3.22, 2 Sm 3.31
Er (0.8206, 0.8206, 0.7742)  6 Sm 3.19-3.49, 1 Cd 3.25, 1 Er 3.56
Cd (0.4467, 0.4467, 0.2212)  4 Er 2.98-3.25, 3 Sm 3.02-3.25
Cd (0.5533, 0.5533, 0.7788)  4 Er 2.98-3.25, 3 Sm 3.02-3.25

Results
DFT formation energy: 461 meV per atom
ρ: 6.55 Mg/m³
SG: C2/m, No. 12

(7)
This record from the Alexandria database describes TbSmErCd after structural relaxation. The functional is PBE-GGA.

Unit cell a=3.6022 b=3.6022 c=9.0446 alpha=90.00 beta=90.00 gamma=90.00
Last column: nearest neighbours and their distance in Å.
Fractional positions:
Tb (0.0000, 0.0000, 0.0000)  4 Cd 3.28, 4 Sm 3.58, 4 Tb 3.60
Sm (0.5000, 0.5000, 0.2779)  4 Er 3.56, 4 Tb 3.58, 4 Sm 3.60
Er (0.0000, 0.0000, 0.5525)  4 Cd 3.23, 4 Sm 3.56, 4 Er 3.60
Cd (0.5000, 0.5000, 0.7721)  4 Er 3.23, 4 Tb 3.28, 4 Cd 3.60

Results
energy relative to the lowest polymorph listed for this composition: 0.00 eV per formula unit
DFT formation energy: -149 meV per atom
ρ: 8.33 Mg/m³
SG: P4mm, No. 99

(8)
This record from the Alexandria database describes TbSmErCd after structural relaxation. The functional is PBE-GGA.

Unit cell a=5.4691 b=5.4691 c=5.4691 alpha=60.00 beta=60.00 gamma=60.00
Last column: nearest neighbours and their distance in Å.
Fractional positions:
Tb (0.0000, 0.0000, 0.0000)  4 Cd 3.35, 4 Er 3.35
Sm (0.5000, 0.5000, 0.5000)  4 Er 3.35, 4 Cd 3.35
Er (0.2500, 0.2500, 0.2500)  4 Sm 3.35, 4 Tb 3.35
Cd (0.7500, 0.7500, 0.7500)  4 Sm 3.35, 4 Tb 3.35

Results
energy relative to the lowest polymorph listed for this composition: 0.46 eV per formula unit
DFT formation energy: -34 meV per atom
ρ: 8.45 Mg/m³
SG: F-43m, No. 216

Table of E (eV/atom), in record order: -4.36, -3.78, -3.39, -3.61, -3.07, -3.78, -3.86, -3.74